No. 1
A relaxed VInTe2 crystal, computed with GGA-PBE.

It has space group R-3m (No. 166, hexagonal axes), with a = 3.5547 Å, b = 3.5547 Å, c = 30.2393 Å, α = 90.00°, β = 90.00° and γ = 120.00°. The asymmetric unit holds V at (0.0000, 0.0000, 0.0000), In at (0.0000, 0.0000, 0.5000) and Te at (0.0000, 0.0000, 0.3906).

As for the uncorrected formation energy: -0.1797 eV per atom.


No. 2
A relaxed VInTe2 crystal, computed with GGA-PBE.

It has space group I-42d (No. 122), with a = 7.7471 Å, b = 7.7471 Å, c = 8.9220 Å, α = 90.00°, β = 90.00° and γ = 90.00°. The asymmetric unit holds V at (0.0000, 0.0000, 0.0000), In at (0.0000, 0.0000, 0.5000) and Te at (0.1801, 0.7500, 0.1250).

As for the uncorrected formation energy: -0.0502 eV per atom.


No. 3
A relaxed VInTe2 crystal, computed with GGA-PBE.

It has space group R3m (No. 160, hexagonal axes), with a = 3.5637 Å, b = 3.5637 Å, c = 28.7996 Å, α = 90.00°, β = 90.00° and γ = 120.00°. The asymmetric unit holds V at (0.0000, 0.0000, 0.0000), In at (0.0000, 0.0000, 0.8346), Te at (0.0000, 0.0000, 0.3936) and Te at (0.0000, 0.0000, 0.6064).

As for the uncorrected formation energy: -0.1860 eV per atom.


No. 4
A relaxed InTeW crystal, computed with GGA-PBE.

It has space group P3m1 (No. 156), with a = 3.3840 Å, b = 3.3840 Å, c = 6.7650 Å, α = 90.00°, β = 90.00° and γ = 120.00°. The asymmetric unit holds In at (0.0000, 0.0000, 0.0000), Te at (0.6667, 0.3333, 0.4076) and W at (0.3333, 0.6667, 0.6822).

For the energy above the most stable polymorph in this dataset, the calculation gives 0.00 eV/f.u. As for the uncorrected formation energy: 0.4199 eV per atom.


No. 5
A relaxed InTeW2 crystal, computed with GGA-PBE.

It has space group Immm (No. 71), with a = 3.3681 Å, b = 4.9034 Å, c = 9.3550 Å, α = 90.00°, β = 90.00° and γ = 90.00°. The asymmetric unit holds In at (0.0000, 0.0000, 0.0000), Te at (0.0000, 0.0000, 0.5000) and W at (0.0000, 0.5000, 0.2485).

For the energy above the most stable polymorph in this dataset, the calculation gives 2.43 eV/f.u. As for the uncorrected formation energy: 1.0048 eV per atom.


No. 6
A relaxed In2TeW crystal, computed with GGA-PBE.

It has space group Amm2 (No. 38), with a = 4.6274 Å, b = 3.6582 Å, c = 10.8126 Å, α = 90.00°, β = 90.00° and γ = 90.00°. The asymmetric unit holds In at (0.0000, 0.0000, 0.0000), In at (0.5000, 0.0000, 0.3193), Te at (0.5000, 0.0000, 0.5947) and W at (0.0000, 0.0000, 0.7307).

As for the uncorrected formation energy: 0.4958 eV per atom.


Here are the calculated calculated density numbers, same order: 6.34 5.22 6.62 10.55 13.11 9.82 (g/cm3).
Here are the calculated V numbers, same order: 331 535 317 67 155 183 (Å³/cell).
Here are the calculated E_tot numbers, same order: -4.715 -4.585 -4.721 -5.858 -6.942 -4.897 (eV/atom).